The following is a GGA-PBE calculation of an optimized crystal structure of Li2Y2Tl2CuAg, from OQMD.

Summary:
Calculated total energy (eV/atom): -3.783

CIF file:
```
data_Li2Y2Tl2CuAg
_chemical_formula_sum 'Li2 Y2 Tl2 Cu1 Ag1'
_symmetry_space_group_name_H-M 'P -4 m 2'
_symmetry_Int_Tables_number 115
_symmetry_space_group_name_Hall 'P -4 -2'
_cell_length_a 4.820
_cell_length_b 4.820
_cell_length_c 6.853
_cell_angle_alpha 90.00
_cell_angle_beta 90.00
_cell_angle_gamma 90.00
loop_
_atom_site_label
_atom_site_type_symbol
_atom_site_fract_x
_atom_site_fract_y
_atom_site_fract_z
_atom_site_occupancy
Li1 Li 0.000 0.000 0.000 1
Li2 Li 0.500 0.500 0.500 1
Y1 Y 0.000 0.500 0.740 1
Tl1 Tl 0.000 0.500 0.258 1
Cu1 Cu 0.000 0.000 0.500 1
Ag1 Ag 0.500 0.500 0.000 1
```